Record 1
Below is crystalline K2Na4Cl3F2 at its relaxed geometry, with properties calculated at the PBE level.

a b c (Å): 4.4823 4.4823 14.6238
angles (deg): 98.82 98.82 90.00
With the nearest neighbours (Å) after each atom.
Fractional positions:
K (0.3196, 0.3196, 0.6391)  1 F 3.02
K (0.6804, 0.6804, 0.3609)  1 F 3.02
Na (0.4316, 0.9316, 0.8632)  2 F 2.25
Na (0.9316, 0.4316, 0.8632)  2 F 2.25
Na (0.0684, 0.5684, 0.1368)  2 F 2.25
Na (0.5684, 0.0684, 0.1368)  2 F 2.25
Cl (0.0000, 0.0000, 0.0000)  8 Na 2.97
Cl (0.1307, 0.1307, 0.2615)  4 Na 2.86
Cl (0.8693, 0.8693, 0.7385)  4 Na 2.86
F (0.4252, 0.4252, 0.8504)  4 Na 2.25
F (0.5748, 0.5748, 0.1496)  4 Na 2.25

Computed properties:
* M_tot: 0.0000 μB/atom
* VASP energy: -38.0 eV per cell
* ΔE_f (raw): -1.93 eV per atom
* volume: 26.075 Å³/atom

Record 2
Below is crystalline CaSm2Cd at its relaxed geometry, with properties calculated at the PBE level.

a b c (Å): 3.5726 3.5726 12.3915
angles (deg): 81.71 81.71 60.00
With the nearest neighbours (Å) after each atom.
Fractional positions:
Ca (0.0000, 0.0000, 0.0000)  2 Sm 3.55, 6 Ca 3.57
Sm (0.0967, 0.0967, 0.7098)  3 Cd 3.29, 1 Ca 3.55, 6 Sm 3.57
Sm (0.9033, 0.9033, 0.2902)  3 Cd 3.29, 1 Ca 3.55, 6 Sm 3.57
Cd (0.5000, 0.5000, 0.5000)  6 Sm 3.29, 6 Cd 3.57

Computed properties:
* M_tot: 0.0000 μB/atom
* VASP energy: -11.9 eV per cell
* volume: 33.765 Å³/atom
* offset from the most stable computed form: 196 meV/atom

Record 3
Below is crystalline Pm2Pu2Pt15 at its relaxed geometry, with properties calculated at the PBE level.

a b c (Å): 7.1098 7.1098 7.1098
angles (deg): 82.47 82.47 82.47
With the nearest neighbours (Å) after each atom.
Fractional positions:
Pm (0.3560, 0.3560, 0.3560)  12 Pt 3.22-3.40, 1 Pu 3.57
Pm (0.6440, 0.6440, 0.6440)  12 Pt 3.22-3.40, 1 Pu 3.57
Pu (0.0976, 0.0976, 0.0976)  1 Pu 2.70, 6 Pt 2.87-2.96
Pu (0.9024, 0.9024, 0.9024)  1 Pu 2.70, 6 Pt 2.87-2.96
Pt (0.5000, 0.0000, 0.0000)  8 Pt 2.73-2.75, 2 Pu 2.87
Pt (0.0000, 0.0000, 0.5000)  8 Pt 2.73-2.75, 2 Pu 2.87
Pt (0.0000, 0.5000, 0.0000)  8 Pt 2.73-2.75, 2 Pu 2.87
Pt (0.0000, 0.6829, 0.3171)  8 Pt 2.75-2.97
Pt (0.6829, 0.3171, 0.0000)  8 Pt 2.75-2.97
Pt (0.3171, 0.0000, 0.6829)  8 Pt 2.75-2.97
Pt (0.3171, 0.6829, 0.0000)  8 Pt 2.75-2.97
Pt (0.6829, 0.0000, 0.3171)  8 Pt 2.75-2.97
Pt (0.0000, 0.3171, 0.6829)  8 Pt 2.75-2.97
Pt (0.1630, 0.6544, 0.6544)  8 Pt 2.67-2.86, 1 Pu 2.96
Pt (0.6544, 0.6544, 0.1630)  8 Pt 2.67-2.86, 1 Pu 2.96
Pt (0.6544, 0.1630, 0.6544)  8 Pt 2.67-2.86, 1 Pu 2.96
Pt (0.8370, 0.3456, 0.3456)  8 Pt 2.67-2.86, 1 Pu 2.96
Pt (0.3456, 0.3456, 0.8370)  8 Pt 2.67-2.86, 1 Pu 2.96
Pt (0.3456, 0.8370, 0.3456)  8 Pt 2.67-2.86, 1 Pu 2.96

Computed properties:
* M_tot: 0.5182 μB/atom
* VASP energy: -140.7 eV per cell
* volume: 18.465 Å³/atom

Record 4
Below is crystalline Ta2CdAs at its relaxed geometry, with properties calculated at the PBE level.

a b c (Å): 2.9677 2.9677 8.7573
angles (deg): 90.00 90.00 107.65
With the nearest neighbours (Å) after each atom.
Fractional positions:
As (0.5000, 0.5000, 0.2500)  4 Ta 2.62
Cd (0.5000, 0.5000, 0.7500)  4 Cd 2.97, 4 Ta 2.99
Ta (0.0000, 0.0000, 0.0273)  2 As 2.62
Ta (0.0000, 0.0000, 0.4727)  2 As 2.62

Computed properties:
* M_tot: 0.0000 μB/atom
* VASP energy: -28.6 eV per cell
* volume: 18.374 Å³/atom
* offset from the most stable computed form: 127 meV/atom

Record 5
Below is crystalline Sm4AlSe3 at its relaxed geometry, with properties calculated at the PBE level.

a b c (Å): 5.9609 5.9609 7.3111
angles (deg): 114.06 114.06 90.00
With the nearest neighbours (Å) after each atom.
Fractional positions:
Se (0.5000, 0.5000, 0.0000)  6 Sm 2.97-2.98
Se (0.7500, 0.2500, 0.5000)  6 Sm 2.98-2.99
Se (0.2500, 0.7500, 0.5000)  6 Sm 2.98-2.99
Al (0.0000, 0.0000, 0.0000)  6 Sm 2.98-3.00
Sm (0.0000, 0.5000, 0.0000)  2 Al 2.98, 4 Se 2.98-2.99
Sm (0.5000, 0.0000, 0.0000)  4 Se 2.98-2.99, 2 Al 2.98
Sm (0.2512, 0.2512, 0.5024)  5 Se 2.97-2.98, 1 Al 3.00
Sm (0.7488, 0.7488, 0.4976)  5 Se 2.97-2.98, 1 Al 3.00

Computed properties:
* M_tot: 0.0000 μB/atom
* VASP energy: -44.8 eV per cell
* ΔE_f (raw): -1.47 eV per atom
* volume: 26.533 Å³/atom

Record 6
Below is crystalline Y2ScCdS at its relaxed geometry, with properties calculated at the PBE level.

a b c (Å): 5.1919 5.1919 4.8453
angles (deg): 90.00 90.00 90.00
With the nearest neighbours (Å) after each atom.
Fractional positions:
Y (0.0000, 0.5000, 0.0000)  2 S 2.60
Y (0.5000, 0.0000, 0.0000)  2 S 2.60
Sc (0.0000, 0.0000, 0.5000)  2 S 2.42
S (0.0000, 0.0000, 0.0000)  2 Sc 2.42, 4 Y 2.60
Cd (0.5000, 0.5000, 0.5000)  8 Y 3.55, 4 Sc 3.67

Computed properties:
* M_tot: 0.0000 μB/atom
* VASP energy: -28.3 eV per cell
* ΔE_f (raw): -0.80 eV per atom
* volume: 26.122 Å³/atom

Record 7
Below is crystalline Pr7Nd12Sc at its relaxed geometry, with properties calculated at the PBE level.

a b c (Å): 8.9373 8.9373 8.9373
angles (deg): 92.17 92.17 92.17
With the nearest neighbours (Å) after each atom.
Fractional positions:
Pr (0.8829, 0.6324, 0.9465)  3 Pr 3.36-3.70, 1 Sc 3.42, 2 Nd 3.48-3.52
Pr (0.3676, 0.0535, 0.1171)  3 Pr 3.36-3.70, 1 Sc 3.42, 2 Nd 3.48-3.52
Pr (0.0535, 0.1171, 0.3676)  3 Pr 3.36-3.70, 1 Sc 3.42, 2 Nd 3.48-3.52
Pr (0.5000, 0.5000, 0.5000)  6 Nd 3.12
Pr (0.9465, 0.8829, 0.6324)  3 Pr 3.36-3.70, 1 Sc 3.42, 2 Nd 3.48-3.52
Pr (0.6324, 0.9465, 0.8829)  3 Pr 3.36-3.70, 1 Sc 3.42, 2 Nd 3.48-3.52
Pr (0.1171, 0.3676, 0.0535)  3 Pr 3.36-3.70, 1 Sc 3.42, 2 Nd 3.48-3.52
Nd (0.8579, 0.2573, 0.7132)  4 Nd 3.51-3.60, 5 Pr 3.52-3.87, 1 Sc 3.73
Nd (0.7427, 0.2868, 0.1421)  4 Nd 3.51-3.60, 5 Pr 3.52-3.87, 1 Sc 3.73
Nd (0.5567, 0.1589, 0.4541)  2 Pr 3.12-3.48, 1 Nd 3.13
Nd (0.8411, 0.5459, 0.4433)  2 Pr 3.12-3.48, 1 Nd 3.13
Nd (0.2868, 0.1421, 0.7427)  4 Nd 3.51-3.60, 5 Pr 3.52-3.87, 1 Sc 3.73
Nd (0.5459, 0.4433, 0.8411)  2 Pr 3.12-3.48, 1 Nd 3.13
Nd (0.4541, 0.5567, 0.1589)  2 Pr 3.12-3.48, 1 Nd 3.13
Nd (0.7132, 0.8579, 0.2573)  4 Nd 3.51-3.60, 5 Pr 3.52-3.87, 1 Sc 3.73
Nd (0.1589, 0.4541, 0.5567)  2 Pr 3.12-3.48, 1 Nd 3.13
Nd (0.4433, 0.8411, 0.5459)  2 Pr 3.12-3.48, 1 Nd 3.13
Nd (0.2573, 0.7132, 0.8579)  4 Nd 3.51-3.60, 5 Pr 3.52-3.87, 1 Sc 3.73
Nd (0.1421, 0.7427, 0.2868)  4 Nd 3.51-3.60, 5 Pr 3.52-3.87, 1 Sc 3.73
Sc (0.0000, 0.0000, 0.0000)  6 Pr 3.42, 6 Nd 3.73

Computed properties:
* M_tot: 0.0000 μB/atom
* VASP energy: -92.6 eV per cell
* volume: 35.615 Å³/atom
* offset from the most stable computed form: 0 meV/atom

Record 8
Below is crystalline Hf2HRuPt at its relaxed geometry, with properties calculated at the PBE level.

a b c (Å): 4.4044 4.4044 3.7377
angles (deg): 90.00 90.00 90.00
With the nearest neighbours (Å) after each atom.
Fractional positions:
Ru (0.0000, 0.0000, 0.5000)  2 H 1.87
Hf (0.0000, 0.5000, 0.0000)  2 H 2.20
Hf (0.5000, 0.0000, 0.0000)  2 H 2.20
Pt (0.5000, 0.5000, 0.5000)  8 Hf 2.89, 4 Ru 3.11
H (0.0000, 0.0000, 0.0000)  2 Ru 1.87

Computed properties:
* M_tot: 0.0000 μB/atom
* VASP energy: -41.9 eV per cell
* volume: 14.501 Å³/atom

Record 9
Below is crystalline MgHgPt2 at its relaxed geometry, with properties calculated at the PBE level.

a b c (Å): 3.5142 3.5142 5.6963
angles (deg): 90.00 90.00 90.00
With the nearest neighbours (Å) after each atom.
Fractional positions:
Hg (0.0000, 0.0000, 0.4910)  6 Pt 2.81-2.88, 4 Mg 2.96
Mg (0.5000, 0.5000, 0.7744)  6 Pt 2.71-2.99, 4 Hg 2.96
Pt (0.0000, 0.0000, 0.9849)  4 Mg 2.76, 2 Hg 2.81-2.88, 4 Pt 2.91
Pt (0.5000, 0.5000, 0.2496)  2 Mg 2.71-2.99, 4 Hg 2.84, 4 Pt 2.91

Computed properties:
* M_tot: 0.0000 μB/atom
* VASP energy: -15.0 eV per cell
* volume: 17.586 Å³/atom

Record 10
Below is crystalline SbSe2Br8 at its relaxed geometry, with properties calculated at the PBE level.

a b c (Å): 7.6031 8.2497 8.2497
angles (deg): 62.03 106.77 106.77
With the nearest neighbours (Å) after each atom.
Fractional positions:
Sb (0.0000, 0.0000, 0.0000)  6 Br 2.78-2.99
Se (0.5541, 0.1499, 0.1499)  2 Br 2.31-2.46
Se (0.4459, 0.8501, 0.8501)  2 Br 2.31-2.46
Br (0.2175, 0.1673, 0.7241)  1 Sb 2.78
Br (0.2175, 0.7241, 0.1673)  1 Sb 2.78
Br (0.7825, 0.8327, 0.2759)  1 Sb 2.78
Br (0.2156, 0.6942, 0.6942)  1 Se 2.31
Br (0.7825, 0.2759, 0.8327)  1 Sb 2.78
Br (0.2814, 0.2068, 0.2068)  1 Se 2.46
Br (0.7186, 0.7932, 0.7932)  1 Se 2.46
Br (0.7844, 0.3058, 0.3058)  1 Se 2.31

Computed properties:
* M_tot: 0.0908 μB/atom
* VASP energy: -26.1 eV per cell
* ΔE_f (raw): -0.15 eV per atom
* volume: 39.121 Å³/atom

Record 11
Below is crystalline BaScIn2 at its relaxed geometry, with properties calculated at the PBE level.

a b c (Å): 5.5335 5.5335 5.5335
angles (deg): 60.00 60.00 60.00
With the nearest neighbours (Å) after each atom.
Fractional positions:
Ba (0.5000, 0.5000, 0.5000)  4 In 3.39, 4 Sc 3.39
In (0.0000, 0.0000, 0.0000)  4 In 3.39, 4 Sc 3.39
In (0.2500, 0.2500, 0.2500)  4 In 3.39, 4 Ba 3.39
Sc (0.7500, 0.7500, 0.7500)  4 In 3.39, 4 Ba 3.39

Computed properties:
* M_tot: 0.1838 μB/atom
* VASP energy: -13.5 eV per cell
* volume: 29.951 Å³/atom

Record 12
Below is crystalline Pr2PbO6 at its relaxed geometry, with properties calculated at the PBE level.

a b c (Å): 3.9446 5.8302 6.5936
angles (deg): 116.24 101.91 90.00
With the nearest neighbours (Å) after each atom.
Fractional positions:
Pr (0.6845, 0.6689, 0.3378)  8 O 2.49-2.50
Pr (0.3155, 0.3311, 0.6622)  8 O 2.49-2.50
Pb (0.0000, 0.0000, 0.0000)  8 O 2.28-2.40
O (0.1738, 0.3956, 0.3069)  1 Pb 2.28, 1 O 2.46, 3 Pr 2.49
O (0.8262, 0.0887, 0.6931)  1 Pb 2.28, 1 O 2.46, 3 Pr 2.49
O (0.8262, 0.6044, 0.6931)  1 Pb 2.28, 1 O 2.46, 3 Pr 2.49
O (0.5000, 0.2347, 0.0000)  2 Pb 2.40, 2 O 2.46, 2 Pr 2.50
O (0.1738, 0.9113, 0.3069)  1 Pb 2.28, 1 O 2.46, 3 Pr 2.49
O (0.5000, 0.7653, 0.0000)  2 Pb 2.40, 2 O 2.46, 2 Pr 2.50

Computed properties:
* M_tot: 0.2284 μB/atom
* VASP energy: -60.6 eV per cell
* ΔE_f (raw): -1.95 eV per atom
* volume: 14.708 Å³/atom